1.
# KSrLa2Pt | the Alexandria database | PBE | relaxed
data_KSrLa2Pt
_chemical_formula_sum 'K1 Sr1 La2 Pt1'
_symmetry_space_group_name_H-M 'P 1'
_symmetry_Int_Tables_number 1
_cell_length_a 5.777
_cell_length_b 5.777
_cell_length_c 6.338
_cell_angle_alpha 90.00
_cell_angle_beta 90.00
_cell_angle_gamma 90.00
loop_
_symmetry_equiv_pos_as_xyz
'x,y,z'
loop_
_atom_site_label
_atom_site_type_symbol
_atom_site_fract_x
_atom_site_fract_y
_atom_site_fract_z
La1 La 0.500 0.000 0.000
Sr1 Sr 0.000 0.000 0.500
La2 La 0.000 0.500 0.000
K1 K 0.500 0.500 0.500
Pt1 Pt 0.000 0.000 0.000
# - SG: P4/mmm
# - Raw total energy: -0.2983 Ry/atom

---

2.
# KSr2LaPt | the Alexandria database | PBE | relaxed
data_KSr2LaPt
_chemical_formula_sum 'K1 Sr2 La1 Pt1'
_symmetry_space_group_name_H-M 'P 1'
_symmetry_Int_Tables_number 1
_cell_length_a 6.255
_cell_length_b 6.255
_cell_length_c 5.631
_cell_angle_alpha 90.00
_cell_angle_beta 90.00
_cell_angle_gamma 90.00
loop_
_symmetry_equiv_pos_as_xyz
'x,y,z'
loop_
_atom_site_label
_atom_site_type_symbol
_atom_site_fract_x
_atom_site_fract_y
_atom_site_fract_z
La1 La 0.000 0.000 0.500
Sr1 Sr 0.500 0.000 0.000
Pt1 Pt 0.000 0.000 0.000
Sr2 Sr 0.000 0.500 0.000
K1 K 0.500 0.500 0.500
# - SG: P4/mmm
# - Raw total energy: -0.2543 Ry/atom